Entry 1:
The following is a DFT calculation (GGA-PBE) of a relaxed structure of SrZrH2.

Calculated values
Crystal system: tetragonal
Density: 4.37 g cm⁻³
D(E_F): 5.6 states/eV per cell
Calculated volume: 17.17 Å³/atom
Calculated total energy: -34.9 eV/cell

abc: 5.6434 5.6434 5.8756
angles: 61.30 61.30 90.00
With the nearest neighbours (Å) after each atom.
Sites, in units of the cell vectors:
H1 0.3750 0.2997 0.7500  2 Zr 2.03
H2 0.7003 0.1250 0.2500  2 Zr 2.03
H3 0.8750 0.9503 0.7500  2 Zr 2.03
H4 0.0497 0.6250 0.2500  2 Zr 2.03
Sr1 0.5000 0.5000 0.0000  4 H 2.55
Sr2 0.2500 0.7500 0.5000  4 H 2.55
Zr1 0.0000 0.0000 0.0000  4 H 2.03
Zr2 0.7500 0.2500 0.5000  4 H 2.03


Entry 2:
The following is a DFT calculation (GGA-PBE) of a relaxed structure of Sr2ZrH.

Calculated values
Crystal system: cubic
Density: 3.33 g cm⁻³
D(E_F): 5.3 states/eV per cell
Calculated volume: 33.31 Å³/atom
Calculated total energy: -11.4 eV/cell

abc: 5.7333 5.7333 5.7333
angles: 60.00 60.00 60.00
With the nearest neighbours (Å) after each atom.
Sites, in units of the cell vectors:
Zr1 0.5000 0.5000 0.5000  8 Sr 3.51
Sr1 0.7500 0.7500 0.7500  4 H 3.51, 4 Zr 3.51
Sr2 0.2500 0.2500 0.2500  4 Zr 3.51, 4 H 3.51
H1 0.0000 0.0000 0.0000  8 Sr 3.51


Entry 3:
The following is a DFT calculation (GGA-PBE) of a relaxed structure of SrZrH.

Calculated values
Crystal system: hexagonal
Density: 4.74 g cm⁻³
D(E_F): 5.8 states/eV per cell
Calculated volume: 20.98 Å³/atom
Calculated total energy: -26.0 eV/cell

abc: 3.4538 3.4548 12.1824
angles: 90.00 90.00 119.99
With the nearest neighbours (Å) after each atom.
Sites, in units of the cell vectors:
Zr1 0.6107 0.2214 0.6184  3 H 2.46
Zr2 0.6107 0.2214 0.3816  3 H 2.46
Sr1 0.2782 0.5564 0.8534  3 H 2.68
Sr2 0.2782 0.5564 0.1466  3 H 2.68
H1 0.2773 0.5547 0.5000  6 Zr 2.46
H2 0.6114 0.2229 0.0000  6 Sr 2.68


Entry 4:
The following is a DFT calculation (GGA-PBE) of a relaxed structure of Sr2ZrH.

Calculated values
Crystal system: tetragonal
Density: 3.83 g cm⁻³
D(E_F): 7.2 states/eV per cell
Calculated volume: 29.01 Å³/atom
Calculated total energy: -27.0 eV/cell

abc: 7.4199 7.4199 6.7303
angles: 56.55 56.55 90.00
With the nearest neighbours (Å) after each atom.
Sites, in units of the cell vectors:
H1 0.5000 0.5000 0.0000  4 Sr 2.32
H2 0.2500 0.7500 0.5000  4 Sr 2.32
Sr1 0.4992 0.1250 0.2500  2 H 2.32
Sr2 0.2508 0.6250 0.2500  2 H 2.32
Sr3 0.8750 0.7492 0.7500  2 H 2.32
Sr4 0.3750 0.5008 0.7500  2 H 2.32
Zr1 0.0000 0.0000 0.0000  8 Sr 3.51-3.78
Zr2 0.7500 0.2500 0.5000  8 Sr 3.51-3.78


Entry 5:
The following is a DFT calculation (GGA-PBE) of a relaxed structure of SrZr2H2.

Calculated values
Crystal system: tetragonal
Density: 4.07 g cm⁻³
D(E_F): 4.1 states/eV per cell
Calculated volume: 22.23 Å³/atom
Calculated total energy: -25.0 eV/cell

abc: 4.1643 4.1643 7.0531
angles: 72.83 72.83 90.00
With the nearest neighbours (Å) after each atom.
Sites, in units of the cell vectors:
Zr1 0.7500 0.2500 0.5000  4 H 2.14
Zr2 0.2500 0.7500 0.5000  4 H 2.14
H1 0.7881 0.7881 0.4238  4 Zr 2.14
H2 0.2119 0.2119 0.5762  4 Zr 2.14
Sr1 0.0000 0.0000 0.0000  2 H 2.72


Entry 6:
The following is a DFT calculation (GGA-PBE) of a relaxed structure of SrZr2H.

Calculated values
Crystal system: cubic
Density: 4.90 g cm⁻³
D(E_F): 7.6 states/eV per cell
Calculated volume: 22.96 Å³/atom
Calculated total energy: -16.6 eV/cell

abc: 5.0640 5.0640 5.0640
angles: 60.00 60.00 60.00
With the nearest neighbours (Å) after each atom.
Sites, in units of the cell vectors:
Zr1 0.7500 0.7500 0.7500  4 Sr 3.10, 4 H 3.10
Zr2 0.2500 0.2500 0.2500  4 H 3.10, 4 Sr 3.10
Sr1 0.5000 0.5000 0.5000  8 Zr 3.10
H1 0.0000 0.0000 0.0000  8 Zr 3.10


Entry 7:
The following is a DFT calculation (GGA-PBE) of a relaxed structure of TaH.

Calculated values
Crystal system: hexagonal
Density: 14.02 g cm⁻³
D(E_F): 1.2 states/eV per cell
Calculated volume: 10.77 Å³/atom
Calculated total energy: -30.5 eV/cell

abc: 2.9984 2.9984 5.5353
angles: 90.00 90.00 120.00
With the nearest neighbours (Å) after each atom.
Sites, in units of the cell vectors:
H1 0.6667 0.3333 0.8692  4 Ta 1.90-1.94
H2 0.3333 0.6667 0.3692  4 Ta 1.90-1.94
Ta1 0.6667 0.3333 0.2128  4 H 1.90-1.94
Ta2 0.3333 0.6667 0.7128  4 H 1.90-1.94


Entry 8:
The following is a DFT calculation (GGA-PBE) of a relaxed structure of TaH2.

Calculated values
Crystal system: tetragonal
Density: 11.49 g cm⁻³
D(E_F): 1.8 states/eV per cell
Calculated volume: 8.81 Å³/atom
Calculated total energy: -36.7 eV/cell

abc: 2.9951 4.2012 4.2011
angles: 90.00 90.00 90.00
With the nearest neighbours (Å) after each atom.
Sites, in units of the cell vectors:
H1 0.0000 0.1858 0.1858  3 Ta 1.86-1.87
H2 0.5000 0.6858 0.3142  3 Ta 1.86-1.87
H3 0.5000 0.3142 0.6858  3 Ta 1.86-1.87
H4 0.0000 0.8142 0.8142  3 Ta 1.86-1.87
Ta1 0.0000 0.5000 0.5000  6 H 1.86-1.87
Ta2 0.5000 0.0000 0.0000  6 H 1.86-1.87


Entry 9:
The following is a DFT calculation (GGA-PBE) of a relaxed structure of TaH.

Calculated values
Crystal system: cubic
Density: 15.15 g cm⁻³
D(E_F): 0.6 states/eV per cell
Calculated volume: 9.97 Å³/atom
Calculated total energy: -15.3 eV/cell

abc: 3.0440 3.0440 3.0440
angles: 60.00 60.00 60.00
With the nearest neighbours (Å) after each atom.
Sites, in units of the cell vectors:
H1 0.5000 0.5000 0.5000  6 Ta 2.15
Ta1 0.0000 0.0000 0.0000  6 H 2.15


Entry 10:
The following is a DFT calculation (GGA-PBE) of a relaxed structure of TaH5.

Calculated values
Crystal system: monoclinic
Density: 9.69 g cm⁻³
D(E_F): 0.6 states/eV per cell
Calculated volume: 5.31 Å³/atom
Calculated total energy: -27.2 eV/cell

abc: 3.1606 3.6283 5.3505
angles: 137.31 90.00 115.82
With the nearest neighbours (Å) after each atom.
Sites, in units of the cell vectors:
H1 0.4741 0.9483 0.5322  5 H 1.75-1.90
H2 0.9712 0.9424 0.0299  5 H 1.75-1.90
H3 0.4732 0.9465 0.8590  5 H 1.75-1.90
H4 0.9703 0.9407 0.3567  5 H 1.75-1.90
H5 0.7222 0.4445 0.4444  2 Ta 1.89, 12 H 2.02-2.04
Ta1 0.2222 0.4444 0.9444  14 H 1.89-2.04


Entry 11:
The following is a DFT calculation (GGA-PBE) of a relaxed structure of TaH.

Calculated values
Crystal system: tetragonal
Density: 13.18 g cm⁻³
D(E_F): 8.7 states/eV per cell
Calculated volume: 11.46 Å³/atom
Calculated total energy: -118.2 eV/cell

abc: 7.3232 7.3232 3.4188
angles: 90.00 90.00 90.00
With the nearest neighbours (Å) after each atom.
Sites, in units of the cell vectors:
H1 0.4583 0.1379 0.0000  4 Ta 1.95-2.00, 3 H 2.11-2.13
H2 0.5417 0.8621 0.0000  4 Ta 1.95-2.00, 3 H 2.11-2.13
H3 0.8517 0.6307 0.5000  4 Ta 1.90-1.99
H4 0.1379 0.5417 0.0000  4 Ta 1.95-2.00, 3 H 2.11-2.13
H5 0.8621 0.4583 0.0000  4 Ta 1.95-2.00, 3 H 2.11-2.13
H6 0.3693 0.8517 0.5000  4 Ta 1.90-1.99
H7 0.6307 0.1483 0.5000  4 Ta 1.90-1.99
H8 0.1483 0.3693 0.5000  4 Ta 1.90-1.99
Ta1 0.7201 0.0588 0.0000  4 H 1.94-2.00
Ta2 0.9412 0.7201 0.0000  4 H 1.94-2.00
Ta3 0.2531 0.6203 0.5000  4 H 1.90-1.99
Ta4 0.0588 0.2799 0.0000  4 H 1.94-2.00
Ta5 0.3797 0.2531 0.5000  4 H 1.90-1.99
Ta6 0.7469 0.3797 0.5000  4 H 1.90-1.99
Ta7 0.6203 0.7469 0.5000  4 H 1.90-1.99
Ta8 0.2799 0.9412 0.0000  4 H 1.94-2.00


Entry 12:
The following is a DFT calculation (GGA-PBE) of a relaxed structure of TaH.

Calculated values
Crystal system: orthorhombic
Density: 14.92 g cm⁻³
D(E_F): 1.2 states/eV per cell
Calculated volume: 10.13 Å³/atom
Calculated total energy: -30.7 eV/cell

abc: 2.9083 2.9303 4.7531
angles: 90.00 89.99 90.00
With the nearest neighbours (Å) after each atom.
Sites, in units of the cell vectors:
Ta1 0.7499 0.7500 0.2532  5 H 2.08-2.12
Ta2 0.2501 0.2500 0.7468  5 H 2.08-2.12
H1 0.7500 0.7500 0.8069  5 Ta 2.08-2.12
H2 0.2500 0.2500 0.1931  5 Ta 2.08-2.12